A geometry-optimized LiSc4S5 structure, computed with PBE.

Computed properties:
space-group type	No. 71

Unit cell a=9.7599 b=9.7599 c=9.7599 alpha=158.19 beta=149.15 gamma=38.10
Fractional positions:
Li: 0.0000 0.0000 0.0000
Sc: 0.2021 0.2021 0.0000
Sc: 0.4003 0.4003 0.0000
Sc: 0.5997 0.5997 0.0000
Sc: 0.7979 0.7979 0.0000
S: 0.1008 0.6008 0.5000
S: 0.3009 0.8009 0.5000
S: 0.5000 0.0000 0.5000
S: 0.6991 0.1991 0.5000
S: 0.8992 0.3992 0.5000

A geometry-optimized LiSc2S structure, computed with PBE.

Computed properties:
space-group type	No. 160

Unit cell a=3.5040 b=3.5040 c=24.6017 alpha=90.00 beta=90.00 gamma=120.00
Fractional positions:
Li: 0.0000 0.0000 0.0000
Li: 0.3333 0.6667 0.6667
Li: 0.6667 0.3333 0.3333
Sc: 0.0000 0.0000 0.2276
Sc: 0.0000 0.0000 0.4388
Sc: 0.3333 0.6667 0.1055
Sc: 0.3333 0.6667 0.8943
Sc: 0.6667 0.3333 0.5610
Sc: 0.6667 0.3333 0.7721
S: 0.0000 0.0000 0.8330
S: 0.3333 0.6667 0.4997
S: 0.6667 0.3333 0.1664

A geometry-optimized Li2ScS2 structure, computed with PBE.

Computed properties:
space-group type	No. 127

Unit cell a=6.9252 b=6.9252 c=3.6130 alpha=90.00 beta=90.00 gamma=90.00
Fractional positions:
Li: 0.1375 0.3625 0.0000
Li: 0.3625 0.8625 0.0000
Li: 0.6375 0.1375 0.0000
Li: 0.8625 0.6375 0.0000
Sc: 0.0000 0.0000 0.5000
Sc: 0.5000 0.5000 0.5000
S: 0.1786 0.6786 0.5000
S: 0.3214 0.1786 0.5000
S: 0.6786 0.8214 0.5000
S: 0.8214 0.3214 0.5000

A geometry-optimized Li5ScS4 structure, computed with PBE.

Computed properties:
space-group type	No. 71

Unit cell a=7.7243 b=7.7243 c=7.7243 alpha=151.56 beta=126.65 gamma=61.56
Fractional positions:
Li: 0.0000 0.0000 0.0000
Li: 0.1085 0.3226 0.7859
Li: 0.4633 0.6774 0.7859
Li: 0.5367 0.3226 0.2141
Li: 0.8915 0.6774 0.2141
Sc: 0.5000 0.0000 0.5000
S: 0.2443 0.5000 0.7443
S: 0.2962 0.7962 0.5000
S: 0.7038 0.2038 0.5000
S: 0.7557 0.5000 0.2557

A geometry-optimized LiSc6S8 structure, computed with PBE.

Computed properties:
space-group type	No. 225
energy above the most stable polymorph in this dataset	0.0	kJ/mol of atoms

Unit cell a=7.3314 b=7.3314 c=7.3314 alpha=60.00 beta=60.00 gamma=60.00
Fractional positions:
Li: 0.0000 0.0000 0.0000
Sc: 0.0000 0.0000 0.5000
Sc: 0.0000 0.5000 0.0000
Sc: 0.0000 0.5000 0.5000
Sc: 0.5000 0.0000 0.0000
Sc: 0.5000 0.0000 0.5000
Sc: 0.5000 0.5000 0.0000
S: 0.2493 0.2493 0.7507
S: 0.2493 0.7507 0.2493
S: 0.2493 0.7507 0.7507
S: 0.2500 0.2500 0.2500
S: 0.7500 0.7500 0.7500
S: 0.7507 0.2493 0.2493
S: 0.7507 0.2493 0.7507
S: 0.7507 0.7507 0.2493

A geometry-optimized LiSc3S4 structure, computed with PBE.

Computed properties:
space-group type	No. 65

Unit cell a=7.3919 b=10.4069 c=3.6730 alpha=90.00 beta=90.00 gamma=90.00
Fractional positions:
Li: 0.0000 0.0000 0.0000
Li: 0.5000 0.5000 0.0000
Sc: 0.0000 0.5000 0.0000
Sc: 0.2500 0.2500 0.5000
Sc: 0.2500 0.7500 0.5000
Sc: 0.5000 0.0000 0.0000
Sc: 0.7500 0.2500 0.5000
Sc: 0.7500 0.7500 0.5000
S: 0.0000 0.2482 0.0000
S: 0.0000 0.7518 0.0000
S: 0.2497 0.0000 0.5000
S: 0.2503 0.5000 0.5000
S: 0.5000 0.2518 0.0000
S: 0.5000 0.7482 0.0000
S: 0.7503 0.0000 0.5000
S: 0.7497 0.5000 0.5000

A geometry-optimized LiSc2S3 structure, computed with PBE.

Computed properties:
space-group type	No. 71

Unit cell a=3.6693 b=5.2065 c=11.0850 alpha=90.00 beta=90.00 gamma=90.00
Fractional positions:
Li: 0.0000 0.0000 0.0000
Li: 0.5000 0.5000 0.5000
Sc: 0.0000 0.0000 0.3356
Sc: 0.0000 0.0000 0.6644
Sc: 0.5000 0.5000 0.1644
Sc: 0.5000 0.5000 0.8356
S: 0.0000 0.5000 0.0000
S: 0.0000 0.5000 0.3326
S: 0.0000 0.5000 0.6674
S: 0.5000 0.0000 0.1674
S: 0.5000 0.0000 0.5000
S: 0.5000 0.0000 0.8326

A geometry-optimized Li3Sc5S8 structure, computed with PBE.

Computed properties:
space-group type	No. 166

Unit cell a=7.3848 b=7.3848 c=7.3848 alpha=59.76 beta=59.76 gamma=59.76
Fractional positions:
Li: 0.0000 0.5000 0.5000
Li: 0.5000 0.0000 0.5000
Li: 0.5000 0.5000 0.0000
Sc: 0.0000 0.0000 0.0000
Sc: 0.0000 0.0000 0.5000
Sc: 0.0000 0.5000 0.0000
Sc: 0.5000 0.0000 0.0000
Sc: 0.5000 0.5000 0.5000
S: 0.2478 0.2478 0.2478
S: 0.2500 0.2500 0.7502
S: 0.2500 0.7502 0.2500
S: 0.2498 0.7500 0.7500
S: 0.7502 0.2500 0.2500
S: 0.7500 0.2498 0.7500
S: 0.7500 0.7500 0.2498
S: 0.7522 0.7522 0.7522

A geometry-optimized LiSc2S structure, computed with PBE.

Computed properties:
space-group type	No. 122

Unit cell a=7.6699 b=7.6699 c=5.9660 alpha=90.00 beta=90.00 gamma=90.00
Fractional positions:
Li: 0.0000 0.0000 0.0000
Li: 0.0000 0.5000 0.2500
Li: 0.5000 0.0000 0.7500
Li: 0.5000 0.5000 0.5000
Sc: 0.1825 0.2500 0.6250
Sc: 0.2500 0.6825 0.8750
Sc: 0.2500 0.8175 0.3750
Sc: 0.3175 0.2500 0.1250
Sc: 0.6825 0.7500 0.1250
Sc: 0.7500 0.1825 0.3750
Sc: 0.7500 0.3175 0.8750
Sc: 0.8175 0.7500 0.6250
S: 0.0000 0.0000 0.5000
S: 0.0000 0.5000 0.7500
S: 0.5000 0.0000 0.2500
S: 0.5000 0.5000 0.0000

A geometry-optimized LiSc3S structure, computed with PBE.

Computed properties:
space-group type	No. 221
energy above the most stable polymorph in this dataset	0.0	kJ/mol of atoms

Unit cell a=4.9021 b=4.9021 c=4.9021 alpha=90.00 beta=90.00 gamma=90.00
Fractional positions:
Li: 0.0000 0.0000 0.0000
Sc: 0.0000 0.5000 0.5000
Sc: 0.5000 0.0000 0.5000
Sc: 0.5000 0.5000 0.0000
S: 0.5000 0.5000 0.5000

A geometry-optimized LiSc4S4 structure, computed with PBE.

Computed properties:
space-group type	No. 12

Unit cell a=6.3151 b=6.3151 c=8.1569 alpha=130.22 beta=130.22 gamma=47.93
Fractional positions:
Li: 0.0000 0.0000 0.0000
Sc: 0.1943 0.1943 0.7976
Sc: 0.3970 0.3970 0.5918
Sc: 0.6030 0.6030 0.4082
Sc: 0.8057 0.8057 0.2024
S: 0.0993 0.0993 0.3954
S: 0.2963 0.2963 0.1971
S: 0.7037 0.7037 0.8029
S: 0.9007 0.9007 0.6046

A geometry-optimized LiSc2S structure, computed with PBE.

Computed properties:
space-group type	No. 166

Unit cell a=3.5568 b=3.5568 c=28.4303 alpha=90.00 beta=90.00 gamma=120.00
Fractional positions:
Li: 0.0000 0.0000 0.0000
Li: 0.3333 0.6667 0.6667
Li: 0.6667 0.3333 0.3333
Sc: 0.0000 0.0000 0.4185
Sc: 0.0000 0.0000 0.5815
Sc: 0.3333 0.6667 0.0852
Sc: 0.3333 0.6667 0.2481
Sc: 0.6667 0.3333 0.7519
Sc: 0.6667 0.3333 0.9148
S: 0.0000 0.0000 0.5000
S: 0.3333 0.6667 0.1667
S: 0.6667 0.3333 0.8333

Number 1: formation energy (no corrections) -1.855 eV/atom. Number 2: formation energy (no corrections) -0.798 eV/atom. Number 3: formation energy (no corrections) -1.239 eV/atom. Number 4: formation energy (no corrections) -1.464 eV/atom. Number 5: formation energy (no corrections) -1.868 eV/atom. Number 6: formation energy (no corrections) -1.849 eV/atom. Number 7: formation energy (no corrections) -1.823 eV/atom. Number 8: formation energy (no corrections) -1.819 eV/atom. Number 9: formation energy (no corrections) -0.477 eV/atom. Number 10: formation energy (no corrections) -0.515 eV/atom. Number 11: formation energy (no corrections) -1.608 eV/atom. Number 12: formation energy (no corrections) -0.108 eV/atom.